The following is a DFT calculation (PBE-GGA) of crystalline Sm2DyHg2Pb2 at its relaxed geometry.

Lattice parameters (Å, degrees): 5.1005 5.1005 27.0291 90.00 90.00 120.00
With the nearest neighbours (Å) after each atom.
Space group R-3m (No. 166, hexagonal axes)
Symmetry-distinct sites (fractional):
1 Sm 0.0000 0.0000 0.1301 (multiplicity 6)  3 Hg 3.06
2 Dy 0.0000 0.0000 0.0000 (multiplicity 3)  6 Pb 3.33, 2 Sm 3.52
3 Hg 0.0000 0.0000 0.4330 (multiplicity 6)  3 Sm 3.06, 3 Pb 3.16
4 Pb 0.0000 0.0000 0.2758 (multiplicity 6)  3 Hg 3.16, 3 Dy 3.33


The following is a DFT calculation (PBE-GGA) of crystalline DyTlHgPb at its relaxed geometry.

Lattice parameters (Å, degrees): 4.6273 4.7114 4.8609 90.00 90.00 90.00
With the nearest neighbours (Å) after each atom.
Space group Pmmm (No. 47)
Symmetry-distinct sites (fractional):
1 Dy 0.0000 0.0000 0.0000 (multiplicity 1)  4 Pb 3.30, 4 Tl 3.36, 4 Hg 3.38
2 Tl 0.5000 0.0000 0.5000 (multiplicity 1)  4 Hg 3.30, 4 Dy 3.36, 4 Pb 3.38
3 Hg 0.0000 0.5000 0.5000 (multiplicity 1)  4 Tl 3.30, 4 Pb 3.36, 4 Dy 3.38
4 Pb 0.5000 0.5000 0.0000 (multiplicity 1)  4 Dy 3.30, 4 Hg 3.36, 4 Tl 3.38

Output
- energy relative to the lowest polymorph listed for this composition (meV per atom) = 0.0


The following is a DFT calculation (PBE-GGA) of crystalline DyTlHgPb at its relaxed geometry.

Lattice parameters (Å, degrees): 7.6462 7.6462 7.6462 90.00 90.00 90.00
With the nearest neighbours (Å) after each atom.
Space group F-43m (No. 216)
Symmetry-distinct sites (fractional):
1 Dy 0.0000 0.0000 0.0000 (multiplicity 4)  4 Tl 3.31, 4 Hg 3.31
2 Tl 0.2500 0.2500 0.2500 (multiplicity 4)  4 Pb 3.31, 4 Dy 3.31
3 Hg 0.2500 0.2500 0.7500 (multiplicity 4)  4 Dy 3.31, 4 Pb 3.31
4 Pb 0.0000 0.0000 0.5000 (multiplicity 4)  4 Hg 3.31, 4 Tl 3.31

Output
- energy relative to the lowest polymorph listed for this composition (meV per atom) = 133.0


The following is a DFT calculation (PBE-GGA) of crystalline DyHg3Pd7 at its relaxed geometry.

Lattice parameters (Å, degrees): 9.1502 9.5458 5.3860 90.00 113.71 90.00
With the nearest neighbours (Å) after each atom.
Space group C2/m (No. 12)
Symmetry-distinct sites (fractional):
1 Dy 0.0000 0.0000 0.0000 (multiplicity 2)  8 Pd 2.69-2.89
2 Hg 0.0000 0.2831 0.5000 (multiplicity 4)  7 Pd 2.70-2.81
3 Hg 0.0000 0.5000 0.0000 (multiplicity 2)  6 Pd 2.76-2.78
4 Pd 0.0000 0.0000 0.5000 (multiplicity 2)  2 Dy 2.69, 2 Hg 2.70, 2 Pd 2.73
5 Pd 0.1772 0.2581 0.1797 (multiplicity 8)  4 Pd 2.76-3.03, 3 Hg 2.76-2.81, 1 Dy 2.89
6 Pd 0.2123 0.5000 0.5415 (multiplicity 4)  5 Pd 2.73-2.95, 3 Hg 2.78-2.79, 1 Dy 2.79


The following is a DFT calculation (PBE-GGA) of crystalline DyHg2Pd at its relaxed geometry.

Lattice parameters (Å, degrees): 4.3112 4.3112 4.7358 90.00 90.00 90.00
With the nearest neighbours (Å) after each atom.
Space group P4/mmm (No. 123)
Symmetry-distinct sites (fractional):
1 Dy 0.0000 0.0000 0.0000 (multiplicity 1)  4 Pd 3.05, 8 Hg 3.20
2 Hg 0.0000 0.5000 0.5000 (multiplicity 2)  4 Hg 3.05, 4 Dy 3.20, 4 Pd 3.20
3 Pd 0.5000 0.5000 0.0000 (multiplicity 1)  4 Dy 3.05, 8 Hg 3.20


The following is a DFT calculation (PBE-GGA) of crystalline Dy5HgPd4 at its relaxed geometry.

Lattice parameters (Å, degrees): 3.5305 3.5305 18.0002 90.00 90.00 90.00
With the nearest neighbours (Å) after each atom.
Space group P4/mmm (No. 123)
Symmetry-distinct sites (fractional):
1 Dy 0.0000 0.0000 0.0000 (multiplicity 1)  8 Pd 3.04
2 Dy 0.0000 0.0000 0.1933 (multiplicity 2)  8 Pd 3.04-3.06
3 Dy 0.0000 0.0000 0.3855 (multiplicity 2)  4 Pd 3.01, 4 Hg 3.24
4 Hg 0.5000 0.5000 0.5000 (multiplicity 1)  8 Dy 3.24, 4 Hg 3.53
5 Pd 0.5000 0.5000 0.0965 (multiplicity 2)  8 Dy 3.04
6 Pd 0.5000 0.5000 0.2921 (multiplicity 2)  8 Dy 3.01-3.06


| no. | energy (eV/atom) | energy of formation from the pure elements (eV/atom) |
| --- | --- | --- |
| 1 | -3.375 | -0.2237 |
| 2 | -3.044 | -0.2991 |
| 3 | -2.911 | -0.1660 |
| 4 | -3.983 | -0.1774 |
| 5 | -3.002 | -0.4019 |
| 6 | -5.208 | -0.7993 |